# AgO, relaxed, DFT PBEsol
data_AgO
_chemical_formula_sum 'Ag2 O2'
_cell_length_a 3.220
_cell_length_b 3.220
_cell_length_c 5.492
_cell_angle_alpha 90.00
_cell_angle_beta 90.00
_cell_angle_gamma 90.00
_space_group_name_H-M_alt 'P 42/m m c'
_space_group_IT_number 131
_space_group_name_Hall '-P 4c 2'
loop_
_atom_site_label
_atom_site_fract_x
_atom_site_fract_y
_atom_site_fract_z
_atom_site_occupancy
Ag1 0.000 0.500 0.000 1
O1 0.000 0.000 0.250 1
# Formation energy without anion corrections (eV per formula unit): -0.213

=====

# AgO, relaxed, DFT PBEsol
data_AgO
_chemical_formula_sum 'Ag4 O4'
_cell_length_a 5.728
_cell_length_b 3.528
_cell_length_c 5.510
_cell_angle_alpha 90.00
_cell_angle_beta 107.77
_cell_angle_gamma 90.00
_space_group_name_H-M_alt 'P 1 21/c 1'
_space_group_IT_number 14
loop_
_space_group_symop_operation_xyz
'x,y,z'
'-x,-y,-z'
'-x,y+1/2,-z+1/2'
'x,-y+1/2,z+1/2'
loop_
_atom_site_label
_atom_site_fract_x
_atom_site_fract_y
_atom_site_fract_z
_atom_site_occupancy
Ag1 0.000 0.000 0.000 1
Ag2 0.500 0.000 0.500 1
O1 0.210 0.166 0.782 1
# Formation energy without anion corrections (eV per formula unit): -0.166

=====

# AgO, relaxed, DFT PBEsol
data_AgO
_chemical_formula_sum 'Ag16 O16'
_cell_length_a 6.755
_cell_length_b 6.755
_cell_length_c 9.223
_cell_angle_alpha 90.00
_cell_angle_beta 90.00
_cell_angle_gamma 90.00
_space_group_name_H-M_alt 'I 41/a'
_space_group_IT_number 88
loop_
_space_group_symop_operation_xyz
'x,y,z'
'-x,-y,-z'
'-y+3/4,x+1/4,z+1/4'
'y+3/4,-x+1/4,-z+1/4'
'-x+1/2,-y,z+1/2'
'x+1/2,y,-z+1/2'
'y+3/4,-x+3/4,z+3/4'
'-y+3/4,x+3/4,-z+3/4'
'x+1/2,y+1/2,z+1/2'
'-x+1/2,-y+1/2,-z+1/2'
'-y+1/4,x+3/4,z+3/4'
'y+1/4,-x+3/4,-z+3/4'
'-x,-y+1/2,z'
'x,y+1/2,-z'
'y+1/4,-x+1/4,z+1/4'
'-y+1/4,x+1/4,-z+1/4'
loop_
_atom_site_label
_atom_site_fract_x
_atom_site_fract_y
_atom_site_fract_z
_atom_site_occupancy
Ag1 0.000 0.000 0.000 1
Ag2 0.000 0.000 0.500 1
O1 0.083 0.006 0.211 1
# Formation energy without anion corrections (eV per formula unit): -0.157

=====

# Ag2O, relaxed, DFT PBEsol
data_Ag2O
_chemical_formula_sum 'Ag16 O8'
_cell_length_a 6.736
_cell_length_b 9.249
_cell_length_c 6.162
_cell_angle_alpha 90.00
_cell_angle_beta 90.00
_cell_angle_gamma 90.00
_space_group_name_H-M_alt 'I b a m'
_space_group_IT_number 72
_space_group_name_Hall '-I 2 2c'
loop_
_atom_site_label
_atom_site_fract_x
_atom_site_fract_y
_atom_site_fract_z
_atom_site_occupancy
Ag1 0.000 0.000 0.000 1
Ag2 0.000 0.500 0.250 1
Ag3 0.250 0.250 0.250 1
O1 0.225 0.399 0.000 1
# Formation energy without anion corrections (eV per formula unit): -0.054

=====

# Ag2O, relaxed, DFT PBEsol
data_Ag2O
_chemical_formula_sum 'Ag4 O2'
_cell_length_a 4.703
_cell_length_b 4.703
_cell_length_c 4.703
_cell_angle_alpha 90.00
_cell_angle_beta 90.00
_cell_angle_gamma 90.00
_space_group_name_H-M_alt 'P n -3 m'
_space_group_IT_number 224
loop_
_space_group_symop_operation_xyz
'x,y,z'
'-x,-y,-z'
'-y,x+1/2,z+1/2'
'y,-x+1/2,-z+1/2'
'-x+1/2,-y+1/2,z'
'x+1/2,y+1/2,-z'
'y+1/2,-x,z+1/2'
'-y+1/2,x,-z+1/2'
'x,-y+1/2,-z+1/2'
'-x,y+1/2,z+1/2'
'-y,-x,-z'
'y,x,z'
'-x+1/2,y,-z+1/2'
'x+1/2,-y,z+1/2'
'y+1/2,x+1/2,-z'
'-y+1/2,-x+1/2,z'
'z,x,y'
'-z,-x,-y'
'z+1/2,-y,x+1/2'
'-z+1/2,y,-x+1/2'
'z,-x+1/2,-y+1/2'
'-z,x+1/2,y+1/2'
'z+1/2,y+1/2,-x'
'-z+1/2,-y+1/2,x'
'-z+1/2,x,-y+1/2'
'z+1/2,-x,y+1/2'
'-z,-y,-x'
'z,y,x'
'-z+1/2,-x+1/2,y'
'z+1/2,x+1/2,-y'
'-z,y+1/2,x+1/2'
'z,-y+1/2,-x+1/2'
'y,z,x'
'-y,-z,-x'
'x+1/2,z+1/2,-y'
'-x+1/2,-z+1/2,y'
'-y+1/2,z,-x+1/2'
'y+1/2,-z,x+1/2'
'-x,z+1/2,y+1/2'
'x,-z+1/2,-y+1/2'
'-y+1/2,-z+1/2,x'
'y+1/2,z+1/2,-x'
'-x,-z,-y'
'x,z,y'
'y,-z+1/2,-x+1/2'
'-y,z+1/2,x+1/2'
'x+1/2,-z,y+1/2'
'-x+1/2,z,-y+1/2'
loop_
_atom_site_label
_atom_site_fract_x
_atom_site_fract_y
_atom_site_fract_z
_atom_site_occupancy
Ag1 0.000 0.000 0.000 1
O1 0.250 0.250 0.250 1
# Formation energy without anion corrections (eV per formula unit): -0.106

=====

# Ag2O3, relaxed, DFT PBEsol
data_Ag2O3
_chemical_formula_sum 'Ag16 O24'
_cell_length_a 10.437
_cell_length_b 12.800
_cell_length_c 3.689
_cell_angle_alpha 90.00
_cell_angle_beta 90.00
_cell_angle_gamma 90.00
_space_group_name_H-M_alt 'F d d 2'
_space_group_IT_number 43
_space_group_name_Hall 'F 2 -2d'
loop_
_atom_site_label
_atom_site_fract_x
_atom_site_fract_y
_atom_site_fract_z
_atom_site_occupancy
Ag1 0.117 0.297 0.000 1
O1 0.000 0.000 0.412 1
O2 0.016 0.168 0.883 1
# Formation energy without anion corrections (eV per formula unit): -0.045

=====

# Ag13OsO6, relaxed, DFT PBEsol
data_Ag13OsO6
_chemical_formula_sum 'Ag104 Os8 O48'
_cell_length_a 13.084
_cell_length_b 13.084
_cell_length_c 13.084
_cell_angle_alpha 90.00
_cell_angle_beta 90.00
_cell_angle_gamma 90.00
_space_group_name_H-M_alt 'F m -3 c'
_space_group_IT_number 226
_space_group_name_Hall '-F 4a 2 3'
loop_
_atom_site_label
_atom_site_fract_x
_atom_site_fract_y
_atom_site_fract_z
_atom_site_occupancy
Ag1 0.000 0.000 0.000 1
Ag2 0.000 0.114 0.178 1
Os1 0.250 0.250 0.250 1
O1 0.104 0.250 0.250 1
# Formation energy without anion corrections (eV per formula unit): -5.006

=====

# AgPOsO2, relaxed, DFT PBEsol
data_AgPOsO2
_chemical_formula_sum 'Ag1 P1 Os1 O2'
_cell_length_a 3.710
_cell_length_b 3.710
_cell_length_c 5.146
_cell_angle_alpha 90.00
_cell_angle_beta 90.00
_cell_angle_gamma 90.00
_space_group_name_H-M_alt 'P 4/m m m'
_space_group_IT_number 123
_space_group_name_Hall '-P 4 2'
loop_
_atom_site_label
_atom_site_fract_x
_atom_site_fract_y
_atom_site_fract_z
_atom_site_occupancy
Ag1 0.000 0.000 0.000 1
P1 0.500 0.500 0.000 1
Os1 0.500 0.500 0.500 1
O1 0.000 0.500 0.500 1
# Formation energy without anion corrections (eV per formula unit): -1.687

=====

Total moment
In order: 0.000; 0.000; 0.000; 0.000; 0.000; 0.001; 0.001; 0.000
Unit: μB/f.u.
Mass density
In order: 7.2; 7.8; 7.8; 8.0; 7.4; 7.1; 10.0; 8.5
Unit: g cm⁻³